# La2Sn4Rh3Au

A relaxed La2Sn4Rh3Au crystal (PBE, the Alexandria database).

Properties
Formation energy from the elements, eV/atom: -0.71

abc: 4.6176 4.6176 10.7146
angles: 90.00 90.00 90.00
Closest atoms and distances in Å follow each position.
Space group P-4m2 (No. 115)
One atom of each set of equivalent atoms:
La (0.0000, 0.5000, 0.2477) (multiplicity 2)  8 Sn 3.50-3.52, 6 Rh 3.52-3.56, 2 Au 3.56
Sn (0.0000, 0.0000, 0.0000) (multiplicity 1)  4 Rh 2.67
Sn (0.0000, 0.5000, 0.6337) (multiplicity 2)  3 Rh 2.58-2.72, 2 Au 2.72
Sn (0.5000, 0.5000, 0.0000) (multiplicity 1)  4 Rh 2.67
Rh (0.0000, 0.5000, 0.8745) (multiplicity 2)  5 Sn 2.58-2.67
Rh (0.5000, 0.5000, 0.5000) (multiplicity 1)  4 Sn 2.72
Au (0.0000, 0.0000, 0.5000) (multiplicity 1)  4 Sn 2.72

# La2Sn4RhAu3

A relaxed La2Sn4RhAu3 crystal (PBE, the Alexandria database).

Properties
Formation energy from the elements, eV/atom: -0.63

abc: 4.6269 4.6269 11.3767
angles: 90.00 90.00 90.00
Closest atoms and distances in Å follow each position.
Space group P-4m2 (No. 115)
One atom of each set of equivalent atoms:
La (0.0000, 0.5000, 0.2306) (multiplicity 2)  8 Sn 3.49-3.84, 2 Rh 3.50, 6 Au 3.50-3.57
Sn (0.0000, 0.0000, 0.5000) (multiplicity 1)  4 Au 2.83
Sn (0.0000, 0.5000, 0.8774) (multiplicity 2)  3 Au 2.67-2.70, 2 Rh 2.70
Sn (0.5000, 0.5000, 0.5000) (multiplicity 1)  4 Au 2.83
Rh (0.5000, 0.5000, 0.0000) (multiplicity 1)  4 Sn 2.70
Au (0.0000, 0.0000, 0.0000) (multiplicity 1)  4 Sn 2.70
Au (0.0000, 0.5000, 0.6430) (multiplicity 2)  5 Sn 2.67-2.83

# LaTbRhAu

A relaxed LaTbRhAu crystal (PBE, the Alexandria database).

Properties
Formation energy from the elements, eV/atom: -0.74

abc: 7.2307 7.2307 7.2307
angles: 90.00 90.00 90.00
Closest atoms and distances in Å follow each position.
Space group F-43m (No. 216)
One atom of each set of equivalent atoms:
La (0.0000, 0.0000, 0.0000) (multiplicity 4)  4 Rh 3.13, 4 Au 3.13
Tb (0.0000, 0.0000, 0.5000) (multiplicity 4)  4 Rh 3.13, 4 Au 3.13
Rh (0.2500, 0.2500, 0.2500) (multiplicity 4)  4 Tb 3.13, 4 La 3.13
Au (0.2500, 0.2500, 0.7500) (multiplicity 4)  4 La 3.13, 4 Tb 3.13

# LaTbRhAu

A relaxed LaTbRhAu crystal (PBE, the Alexandria database).

Properties
Formation energy from the elements, eV/atom: -0.82

abc: 4.7316 3.9264 10.4855
angles: 90.00 90.00 90.00
Closest atoms and distances in Å follow each position.
Space group Amm2 (No. 38)
One atom of each set of equivalent atoms:
La (0.0000, 0.0000, 0.0000) (multiplicity 2)  1 Rh 2.61
Tb (0.5000, 0.0000, 0.2860) (multiplicity 2)  3 Au 2.98-3.00, 4 Rh 3.10
Rh (0.0000, 0.0000, 0.7507) (multiplicity 2)  1 La 2.61
Au (0.5000, 0.0000, 0.5720) (multiplicity 2)  3 Tb 2.98-3.00, 2 Rh 3.02, 4 La 3.17

# LaTh2Rh5Au

A relaxed LaTh2Rh5Au crystal (PBE, the Alexandria database).

Properties
Formation energy from the elements, eV/atom: -0.40

abc: 8.4874 8.4874 10.9744
angles: 90.00 90.00 90.00
Closest atoms and distances in Å follow each position.
Space group I4/mcm (No. 140)
One atom of each set of equivalent atoms:
La (0.0000, 0.0000, 0.2500) (multiplicity 4)  2 Rh 2.74
Th (0.1382, 0.3618, 0.0000) (multiplicity 8)  2 Rh 2.52
Rh (0.0000, 0.0000, 0.0000) (multiplicity 4)  2 La 2.74
Rh (0.1908, 0.3092, 0.3673) (multiplicity 16)  1 Th 2.52, 1 Au 2.63
Au (0.0000, 0.5000, 0.2500) (multiplicity 4)  4 Rh 2.63

# LaZn2RhAu

A relaxed LaZn2RhAu crystal (PBE, the Alexandria database).

Properties
Formation energy from the elements, eV/atom: 0.91

abc: 5.8754 5.8754 4.8189
angles: 90.00 90.00 90.00
Closest atoms and distances in Å follow each position.
Space group P4/mmm (No. 123)
One atom of each set of equivalent atoms:
La (0.0000, 0.0000, 0.0000) (multiplicity 1)  2 Rh 2.41
Zn (0.0000, 0.5000, 0.0000) (multiplicity 2)  2 La 2.94
Rh (0.0000, 0.0000, 0.5000) (multiplicity 1)  2 La 2.41
Au (0.5000, 0.5000, 0.5000) (multiplicity 1)  8 Zn 3.80, 4 Rh 4.15

# La12RuAu6

A relaxed La12RuAu6 crystal (PBE, the Alexandria database).

Properties
Formation energy from the elements, eV/atom: -0.47

abc: 13.0253 13.0253 12.9820
angles: 90.00 90.00 120.00
Closest atoms and distances in Å follow each position.
Space group R-3 (No. 148, hexagonal axes)
One atom of each set of equivalent atoms:
La (0.0271, 0.8211, 0.3965) (multiplicity 18)  4 Au 2.99-3.31
La (0.0605, 0.8606, 0.8810) (multiplicity 18)  1 Ru 2.78, 1 Au 3.11
Ru (0.0000, 0.0000, 0.0000) (multiplicity 3)  6 La 2.78
Au (0.0463, 0.7683, 0.6431) (multiplicity 18)  7 La 2.99-3.31

# LaRuAu

A relaxed LaRuAu crystal (PBE, the Alexandria database).

Properties
Formation energy from the elements, eV/atom: -0.40

abc: 5.5455 6.4572 7.1430
angles: 90.00 90.00 90.00
Closest atoms and distances in Å follow each position.
Space group Imma (No. 74)
One atom of each set of equivalent atoms:
La (0.0000, 0.2500, 0.0888) (multiplicity 4)  2 Ru 2.79
Ru (0.2500, 0.2500, 0.7500) (multiplicity 4)  2 Ru 2.77, 4 Au 2.78, 2 La 2.79
Au (0.0000, 0.0000, 0.5000) (multiplicity 4)  4 Ru 2.78

# LaRuAu4

A relaxed LaRuAu4 crystal (PBE, the Alexandria database).

Properties
Formation energy from the elements, eV/atom: -0.08

abc: 7.8672 7.8672 7.8672
angles: 90.00 90.00 90.00
Closest atoms and distances in Å follow each position.
Space group F-43m (No. 216)
One atom of each set of equivalent atoms:
La (0.0000, 0.0000, 0.0000) (multiplicity 4)  12 Au 3.26, 4 Ru 3.41
Ru (0.2500, 0.2500, 0.7500) (multiplicity 4)  12 Au 3.26, 4 La 3.41
Au (0.1243, 0.1243, 0.3757) (multiplicity 16)  6 Au 2.77-2.80

# La5Ru2Au

A relaxed La5Ru2Au crystal (PBE, the Alexandria database).

Properties
Formation energy from the elements, eV/atom: -0.44

abc: 7.9124 7.9124 14.1426
angles: 90.00 90.00 90.00
Closest atoms and distances in Å follow each position.
Space group I4/mcm (No. 140)
One atom of each set of equivalent atoms:
La (0.0000, 0.0000, 0.0000) (multiplicity 4)  4 Ru 3.06
La (0.1657, 0.3343, 0.1333) (multiplicity 16)  3 Ru 2.88-3.07
Ru (0.1399, 0.3601, 0.5000) (multiplicity 8)  8 La 2.88-3.07, 1 Ru 3.13
Au (0.0000, 0.0000, 0.2500) (multiplicity 4)  10 La 3.38-3.54

# LaRu3Au

A relaxed LaRu3Au crystal (PBE, the Alexandria database).

Properties
Formation energy from the elements, eV/atom: 1.27

abc: 4.9083 4.9083 4.9083
angles: 90.00 90.00 90.00
Closest atoms and distances in Å follow each position.
Space group Pm-3m (No. 221)
One atom of each set of equivalent atoms:
La (0.0000, 0.0000, 0.0000) (multiplicity 1)  12 Ru 3.47
Ru (0.0000, 0.5000, 0.5000) (multiplicity 3)  2 Au 2.45
Au (0.5000, 0.5000, 0.5000) (multiplicity 1)  6 Ru 2.45

# La6RuAu5

A relaxed La6RuAu5 crystal (PBE, the Alexandria database).

Properties
Formation energy from the elements, eV/atom: -0.68

abc: 16.7345 7.5000 5.2730
angles: 90.00 108.29 90.00
Closest atoms and distances in Å follow each position.
Space group C2/m (No. 12)
One atom of each set of equivalent atoms:
La (0.0000, 0.2321, 0.0000) (multiplicity 4)  2 Ru 3.16, 6 Au 3.31-3.38, 1 La 3.48
La (0.1579, 0.2402, 0.6580) (multiplicity 8)  1 Ru 3.09, 7 Au 3.18-3.31
Ru (0.0000, 0.0000, 0.5000) (multiplicity 2)  8 La 3.09-3.16
Au (0.0000, 0.5000, 0.5000) (multiplicity 2)  8 La 3.18-3.31
Au (0.1673, 0.5000, 0.1673) (multiplicity 4)  8 La 3.28-3.33, 2 Au 3.56
Au (0.1820, 0.0000, 0.1820) (multiplicity 4)  8 La 3.20-3.38, 2 Au 3.56

# La2RuAu

A relaxed La2RuAu crystal (PBE, the Alexandria database).

Properties
Formation energy from the elements, eV/atom: -0.45

abc: 7.3324 7.3324 7.3324
angles: 90.00 90.00 90.00
Closest atoms and distances in Å follow each position.
Space group Fm-3m (No. 225)
One atom of each set of equivalent atoms:
La (0.2500, 0.2500, 0.2500) (multiplicity 8)  4 Ru 3.18, 4 Au 3.18
Ru (0.0000, 0.0000, 0.0000) (multiplicity 4)  8 La 3.18
Au (0.0000, 0.0000, 0.5000) (multiplicity 4)  8 La 3.18

# La8RuAu5

A relaxed La8RuAu5 crystal (PBE, the Alexandria database).

Properties
Formation energy from the elements, eV/atom: -0.63

abc: 9.2192 9.2192 9.5524
angles: 90.00 90.00 90.00
Closest atoms and distances in Å follow each position.
Space group I-4 (No. 82)
One atom of each set of equivalent atoms:
La (0.0555, 0.1794, 0.1966) (multiplicity 8)  4 Au 3.02-3.35, 1 Ru 3.38
La (0.0663, 0.2895, 0.5573) (multiplicity 8)  1 Ru 2.79, 1 Au 3.06
Ru (0.0000, 0.0000, 0.5000) (multiplicity 2)  4 La 2.79
Au (0.0000, 0.5000, 0.2500) (multiplicity 2)  4 La 3.04
Au (0.1138, 0.2545, 0.8824) (multiplicity 8)  5 La 3.02-3.35

# La4RuAu3

A relaxed La4RuAu3 crystal (PBE, the Alexandria database).

Properties
Formation energy from the elements, eV/atom: -0.62

abc: 3.6751 3.6751 15.3338
angles: 90.00 90.00 90.00
Closest atoms and distances in Å follow each position.
Space group P4/mmm (No. 123)
One atom of each set of equivalent atoms:
La (0.0000, 0.0000, 0.1123) (multiplicity 2)  4 Ru 3.12, 4 Au 3.31, 1 La 3.44
La (0.0000, 0.0000, 0.3713) (multiplicity 2)  8 Au 3.23-3.26
Ru (0.5000, 0.5000, 0.0000) (multiplicity 1)  8 La 3.12
Au (0.5000, 0.5000, 0.2457) (multiplicity 2)  8 La 3.23-3.31
Au (0.5000, 0.5000, 0.5000) (multiplicity 1)  8 La 3.26

# LaRuAu

A relaxed LaRuAu crystal (PBE, the Alexandria database).

Properties
Formation energy from the elements, eV/atom: -0.36

abc: 4.7481 6.8612 8.5917
angles: 90.00 90.00 90.00
Closest atoms and distances in Å follow each position.
Space group I2_12_12_1 (No. 24)
One atom of each set of equivalent atoms:
La (0.2239, 0.0000, 0.2500) (multiplicity 4)  2 Ru 2.82
Ru (0.0000, 0.2500, 0.9606) (multiplicity 4)  2 Ru 2.47
Au (0.2500, 0.3823, 0.5000) (multiplicity 4)  2 Ru 2.81, 2 Au 2.99

# LaRuAu2

A relaxed LaRuAu2 crystal (PBE, the Alexandria database).

Properties
Formation energy from the elements, eV/atom: 0.38

abc: 3.0481 3.0481 29.9228
angles: 90.00 90.00 120.00
Closest atoms and distances in Å follow each position.
Space group R-3m (No. 166, hexagonal axes)
One atom of each set of equivalent atoms:
La (0.0000, 0.0000, 0.0000) (multiplicity 3)  6 La 3.05, 6 Au 3.28
Ru (0.0000, 0.0000, 0.5000) (multiplicity 3)  6 Au 2.83, 6 Ru 3.05
Au (0.0000, 0.0000, 0.2408) (multiplicity 6)  3 Ru 2.83, 6 Au 3.05

# LaRuAu2

A relaxed LaRuAu2 crystal (PBE, the Alexandria database).

Properties
Formation energy from the elements, eV/atom: -0.15

abc: 3.9507 3.9113 5.8488
angles: 90.00 109.66 90.00
Closest atoms and distances in Å follow each position.
Space group Pm (No. 6)
One atom of each set of equivalent atoms:
La (0.0000, 0.0000, 0.0000) (multiplicity 1)  4 Ru 2.83-2.84, 3 Au 3.03-3.17
Ru (0.4477, 0.5000, 0.8972) (multiplicity 1)  3 Au 2.74-2.84, 4 La 2.83-2.84
Au (0.2768, 0.0000, 0.5498) (multiplicity 1)  2 Ru 2.74, 4 Au 2.88, 1 La 3.03
Au (0.7085, 0.5000, 0.4137) (multiplicity 1)  1 Ru 2.84, 4 Au 2.88

# La2RuAu

A relaxed La2RuAu crystal (PBE, the Alexandria database).

Properties
Formation energy from the elements, eV/atom: -0.32

abc: 12.1885 3.6306 4.8368
angles: 90.00 113.27 90.00
Closest atoms and distances in Å follow each position.
Space group Cm (No. 8)
One atom of each set of equivalent atoms:
La (0.0000, 0.0000, 0.0000) (multiplicity 2)  2 Ru 3.01, 4 Au 3.19, 2 La 3.30
La (0.2005, 0.0000, 0.7004) (multiplicity 2)  4 Ru 3.03, 2 La 3.30, 2 Au 3.37-3.38
Ru (0.2147, 0.5000, 0.2141) (multiplicity 2)  2 Au 2.84, 6 La 3.01-3.03
Au (0.4103, 0.0000, 0.4105) (multiplicity 2)  2 Ru 2.84

# La6Ru3Au

A relaxed La6Ru3Au crystal (PBE, the Alexandria database).

Properties
Formation energy from the elements, eV/atom: -0.37

abc: 12.0814 4.2088 12.1091
angles: 90.00 109.49 90.00
Closest atoms and distances in Å follow each position.
Space group P2_1/m (No. 11)
One atom of each set of equivalent atoms:
La (0.0447, 0.2500, 0.3983) (multiplicity 2)  3 Ru 2.71-2.89
La (0.1099, 0.2500, 0.9467) (multiplicity 2)  4 Ru 2.87-3.11
La (0.2132, 0.7500, 0.2614) (multiplicity 2)  3 Ru 2.88-3.04
La (0.2706, 0.7500, 0.7611) (multiplicity 2)  3 Ru 2.74-2.87
La (0.3741, 0.2500, 0.5435) (multiplicity 2)  2 Ru 2.85
La (0.4315, 0.7500, 0.0933) (multiplicity 2)  3 Ru 2.80-2.96
Ru (0.0442, 0.2500, 0.1745) (multiplicity 2)  5 La 2.71-2.88
Ru (0.2075, 0.7500, 0.5104) (multiplicity 2)  6 La 2.85-3.04
Ru (0.3390, 0.2500, 0.9138) (multiplicity 2)  6 La 2.74-2.96
Au (0.4363, 0.2500, 0.3010) (multiplicity 2)  7 La 3.22-3.33